4
Lattice="3.138 0.000 0.000 0.000 3.138 0.000 0.000 0.000 7.024" Properties=species:S:1:pos:R:3 comment="PrTiNi2 GGA-PBE optimized geometry" dos_at_fermi_per_ev_fu=3.58 energy_ev_per_atom=-6.31 de_polymorph_mev_per_atom=41.0 e_form_ev_per_atom=-0.254 pbc="T T T"
Pr 0.000 0.000 0.000
Ti 0.000 0.000 3.512
Ni 1.569 1.569 2.222
Ni 1.569 1.569 4.802